(1)
## NdHo2ErTm5 (PBE)

Data for a geometry-optimized NdHo2ErTm5 structure.

Properties
- VASP energy (eV/cell) = -78.72
- formation enthalpy at 0 K (eV/atom) = 0.16

a = 10.1774 Å, b = 10.1774 Å, c = 10.4781 Å
α = 90.00°, β = 90.00°, γ = 148.38°
With the nearest neighbours (Å) after each atom.
Element x y z (fractional)
Nd 0.0836 0.9164 0.5000  5 Tm 3.03-3.21
Nd 0.9164 0.0836 0.0000  5 Tm 3.03-3.21
Ho 0.3873 0.6127 0.3652  9 Tm 3.30-3.59, 1 Er 3.64
Ho 0.3890 0.6110 0.7815  7 Tm 3.35-3.68, 1 Er 3.39, 2 Nd 3.64
Ho 0.6110 0.3890 0.2815  7 Tm 3.35-3.68, 1 Er 3.39, 2 Nd 3.64
Ho 0.6127 0.3873 0.8652  9 Tm 3.30-3.59, 1 Er 3.64
Er 0.2998 0.7002 0.0592  2 Ho 3.39-3.64, 8 Tm 3.47-3.70, 2 Nd 3.65
Er 0.7002 0.2998 0.5592  2 Ho 3.39-3.64, 8 Tm 3.47-3.70, 2 Nd 3.65
Tm 0.0212 0.9788 0.7835  2 Nd 3.06-3.21, 2 Ho 3.41
Tm 0.1130 0.8870 0.0685  6 Tm 3.46-3.78, 4 Ho 3.50-3.56, 1 Er 3.66
Tm 0.2013 0.7987 0.7577  4 Tm 3.36-3.69, 3 Ho 3.46-3.68, 3 Er 3.47-3.70, 1 Nd 3.55
Tm 0.2187 0.7813 0.3593  1 Nd 3.03, 1 Ho 3.30, 2 Tm 3.36
Tm 0.4818 0.5182 0.0717  2 Nd 3.14, 2 Ho 3.35-3.36
Tm 0.5182 0.4818 0.5717  2 Nd 3.14, 2 Ho 3.35-3.36
Tm 0.7813 0.2187 0.8593  1 Nd 3.03, 1 Ho 3.30, 2 Tm 3.36
Tm 0.7987 0.2013 0.2577  4 Tm 3.36-3.69, 3 Ho 3.46-3.68, 3 Er 3.47-3.70, 1 Nd 3.55
Tm 0.8870 0.1130 0.5685  6 Tm 3.46-3.78, 4 Ho 3.50-3.56, 1 Er 3.66
Tm 0.9788 0.0212 0.2835  2 Nd 3.06-3.21, 2 Ho 3.41


(2)
## Mg2AlAu2 (PBE)

Data for a geometry-optimized Mg2AlAu2 structure.

Properties
- distance to the lowest polymorph of the same formula (eV per atom) = 0.005
- VASP energy (eV/cell) = -31.58
- formation enthalpy at 0 K (eV/atom) = -0.46

a = 7.0817 Å, b = 7.0817 Å, c = 3.7822 Å
α = 90.00°, β = 90.00°, γ = 90.00°
With the nearest neighbours (Å) after each atom.
Element x y z (fractional)
Mg 0.1560 0.3440 0.0000  6 Au 2.72-2.87
Mg 0.3440 0.8440 0.0000  6 Au 2.72-2.87
Mg 0.6560 0.1560 0.0000  6 Au 2.72-2.87
Mg 0.8440 0.6560 0.0000  6 Au 2.72-2.87
Al 0.0000 0.0000 0.5000  4 Au 2.70
Al 0.5000 0.5000 0.5000  4 Au 2.70
Au 0.1482 0.6482 0.5000  2 Al 2.70, 6 Mg 2.72-2.87, 1 Au 2.97
Au 0.3518 0.1482 0.5000  2 Al 2.70, 6 Mg 2.72-2.87, 1 Au 2.97
Au 0.6482 0.8518 0.5000  2 Al 2.70, 6 Mg 2.72-2.87, 1 Au 2.97
Au 0.8518 0.3518 0.5000  2 Al 2.70, 6 Mg 2.72-2.87, 1 Au 2.97


(3)
## Y2FeTcC (PBE)

Data for a geometry-optimized Y2FeTcC structure.

Properties
- VASP energy (eV/cell) = -40.78
- formation enthalpy at 0 K (eV/atom) = 0.04

a = 4.9214 Å, b = 4.9214 Å, c = 3.9466 Å
α = 90.00°, β = 90.00°, γ = 90.00°
With the nearest neighbours (Å) after each atom.
Element x y z (fractional)
Y 0.0000 0.5000 0.0000  2 C 2.46
Y 0.5000 0.0000 0.0000  2 C 2.46
Fe 0.0000 0.0000 0.5000  8 Y 3.15, 4 Tc 3.48
Tc 0.5000 0.5000 0.5000  2 C 1.97
C 0.5000 0.5000 0.0000  2 Tc 1.97


(4)
## ZrTcAsSe2 (PBE)

Data for a geometry-optimized ZrTcAsSe2 structure.

Properties
- distance to the lowest polymorph of the same formula (eV per atom) = 0.185
- ΔE_f (raw) (meV/atom) = 524
- VASP energy (eV/cell) = -27.91

a = 5.1510 Å, b = 5.1510 Å, c = 5.2414 Å
α = 90.00°, β = 90.00°, γ = 90.00°
With the nearest neighbours (Å) after each atom.
Element x y z (fractional)
Zr 0.0000 0.0000 0.0000  4 Se 2.58, 2 As 2.62
Tc 0.5000 0.5000 0.5000  4 As 3.64, 8 Se 3.67
As 0.0000 0.0000 0.5000  2 Zr 2.62
Se 0.0000 0.5000 0.0000  2 Zr 2.58
Se 0.5000 0.0000 0.0000  2 Zr 2.58